VASP calculation (GGA-PBE) on Ac3Tb3TmS8 after structural relaxation.

Uncorrected energy = -6.29 eV/atom
Mass density = 6.790 g/cm3
Crystal system = trigonal
Raw formation energy = -2950 kJ/mol of formula units
Space-group type = R-3m, No. 166

extended XYZ file:
```
15
Lattice="8.045 0.000 0.000 -4.022 6.967 -0.025 0.000 -4.620 6.925" Properties=species:S:1:pos:R:3 pbc="T T T"
Ac 0.000 0.000 0.000
Ac -2.011 3.483 -0.013
Ac 2.011 3.483 -0.013
Tb 4.022 -2.310 3.463
Tb 2.011 1.173 3.450
Tb -2.011 1.173 3.450
Tm 0.000 -2.310 3.463
S 0.000 2.329 1.915
S 4.022 0.018 4.985
S 4.022 2.355 1.922
S 0.000 -0.008 4.979
S 6.056 -1.167 1.934
S -2.033 3.514 4.966
S 1.989 -1.167 1.934
S 2.034 3.514 4.966
```